[1]
4
Lattice="0.000 3.206 3.206 3.206 0.000 3.206 3.206 3.206 0.000" Properties=species:S:1:pos:R:3 comment="ZrTiNiPd, optimized geometry, DFT PBE-GGA" sg="No. 216" density_g_cm3=7.7 total_energy_ev_per_cell=-28.9 pbc="T T T"
Zr 0.000 0.000 0.000
Ti 3.206 3.206 3.206
Ni 4.809 4.809 4.809
Pd 1.603 1.603 1.603

***

[2]
8
Lattice="3.364 -5.823 0.000 3.364 5.823 0.000 -0.059 0.000 6.245" Properties=species:S:1:pos:R:3 comment="MnPtCl6, optimized geometry, DFT PBE-GGA" sg="No. 12" formation_energy_uncorrected_kcal_per_mol_atoms=-15.68 density_g_cm3=3.1 pbc="T T T"
Mn 0.000 0.000 0.000
Pt -0.029 0.000 3.122
Cl 0.896 1.626 4.558
Cl 5.772 -1.626 1.687
Cl 0.896 -1.626 4.558
Cl 1.861 0.000 1.712
Cl 5.772 1.626 1.687
Cl 4.807 0.000 4.533

***

[3]
5
Lattice="5.875 0.000 0.000 0.000 5.875 0.000 0.000 0.000 5.505" Properties=species:S:1:pos:R:3 comment="Sr2YGePt, optimized geometry, DFT PBE-GGA" sg="No. 123" density_g_cm3=4.6 total_energy_ev_per_cell=-20.5 pbc="T T T"
Sr 0.000 2.938 0.000
Sr 2.938 0.000 0.000
Y 0.000 0.000 2.753
Ge 0.000 0.000 0.000
Pt 2.938 2.938 2.753